[1]
Entry from Alexandria via LeMat-Bulk: crystalline TbScGeSe at its relaxed geometry (GGA-PBE).

The structure belongs to space group R3m (No. 160, hexagonal axes); the cell edges are 4.0182, 4.0182 and 19.8745 Å and the angles 90.00°, 90.00° and 120.00°. The asymmetric unit holds Tb at (0.0000, 0.0000, 0.0000), Sc at (0.0000, 0.0000, 0.4920), Ge at (0.0000, 0.0000, 0.7515) and Se at (0.0000, 0.0000, 0.2413).

The formation energy (no corrections) comes out at -126.3 kJ/mol of atoms. For the total magnetic moment, the calculation gives 0.0 μB/f.u.

=====

[2]
Entry from Alexandria via LeMat-Bulk: crystalline Na2ZrAlFe at its relaxed geometry (GGA-PBE).

The structure belongs to space group P4/mmm (No. 123); the cell edges are 5.898, 5.898 and 4.275 Å and the angles 90.00°, 90.00° and 90.00°. The asymmetric unit holds Na at (0.000, 0.500, 0.000), Zr at (0.000, 0.000, 0.000), Al at (0.500, 0.500, 0.500) and Fe at (0.000, 0.000, 0.500).

The calculation puts the calculated formation energy at 1.317 eV per atom. For the total magnetic moment, the calculation gives 0.0 μB/f.u.

=====

[3]
Entry from Alexandria via LeMat-Bulk: crystalline CaMoN3 at its relaxed geometry (GGA-PBE).

The structure belongs to space group Cm (No. 8); the cell edges are 6.590, 3.037 and 6.596 Å and the angles 90.00°, 117.64° and 90.00°. The asymmetric unit holds Ca at (0.000, 0.000, 0.000), Mo at (0.024, 0.500, 0.536), N at (0.222, 0.000, 0.763), N at (0.276, 0.500, 0.432) and N at (0.326, 0.500, 0.256).

The formation energy (no corrections) comes out at -35.6 kJ/mol of atoms. For the total magnetic moment, the calculation gives 0.0 μB/f.u.

=====

[4]
Entry from Alexandria via LeMat-Bulk: crystalline KSr2F at its relaxed geometry (GGA-PBE).

The structure belongs to space group I-42d (No. 122); the cell edges are 8.198, 8.198 and 11.402 Å and the angles 90.00°, 90.00° and 90.00°. The asymmetric unit holds K at (0.000, 0.000, 0.000), Sr at (0.034, 0.750, 0.625) and F at (0.000, 0.000, 0.500).

The relative energy among the computed polymorphs is 0.000 eV/atom. The formation energy (no corrections) comes out at -125.6 kJ/mol of atoms. For the total magnetic moment, the calculation gives 0.0 μB/f.u.